Ac12Zn6Co (PBE, optimized geometry); V = 35.44 Å³ per atom; calculated total energy = -65.142 eV per formula unit; symmetry = No. 148
1.0
6.3853 3.6865 4.7674
-6.3853 3.6865 4.7674
0.0000 -7.3731 4.7674
Ac Zn Co
12 6 1
Direct
0.0407 0.6903 0.9201
0.0799 0.9593 0.3097
0.1939 0.5486 0.4196
0.3097 0.0799 0.9593
0.4196 0.1939 0.5486
0.4514 0.5804 0.8061
0.5486 0.4196 0.1939
0.5804 0.8061 0.4514
0.6903 0.9201 0.0407
0.8061 0.4514 0.5804
0.9201 0.0407 0.6903
0.9593 0.3097 0.0799
0.1453 0.3545 0.7393
0.2607 0.8547 0.6455
0.3545 0.7393 0.1453
0.6455 0.2607 0.8547
0.7393 0.1453 0.3545
0.8547 0.6455 0.2607
0.0000 0.0000 0.0000

---

Ac8ZnCo2 (PBE, optimized geometry); V = 35.71 Å³ per atom; calculated total energy = -47.572 eV per formula unit; symmetry = No. 8
1.0
4.3589 -7.1171 0.0000
4.3589 7.1171 0.0000
-1.8162 0.0000 6.3313
Ac Zn Co
8 1 2
Direct
0.0000 0.0000 0.0000
0.0095 0.2778 0.5889
0.1344 0.5793 0.1870
0.2778 0.0095 0.5889
0.4514 0.7177 0.7682
0.5793 0.1344 0.1870
0.7177 0.4514 0.7682
0.7370 0.7370 0.3748
0.3637 0.3637 0.3575
0.0746 0.6506 0.6739
0.6506 0.0746 0.6739

---

Ac19Zn4Co6 (PBE, optimized geometry); V = 33.89 Å³ per atom; calculated total energy = -124.743 eV per formula unit; symmetry = No. 197
1.0
-6.2633 6.2633 6.2633
6.2633 -6.2633 6.2633
6.2633 6.2633 -6.2633
Ac Zn Co
19 4 6
Direct
0.0000 0.0000 0.0000
0.0000 0.3001 0.3001
0.0000 0.6999 0.6999
0.0452 0.3918 0.7678
0.2322 0.6240 0.2774
0.2774 0.2322 0.6240
0.3001 0.0000 0.3001
0.3001 0.3001 0.0000
0.3466 0.9548 0.7226
0.3760 0.6082 0.6534
0.3918 0.7678 0.0452
0.6082 0.6534 0.3760
0.6240 0.2774 0.2322
0.6534 0.3760 0.6082
0.6999 0.0000 0.6999
0.6999 0.6999 0.0000
0.7226 0.3466 0.9548
0.7678 0.0452 0.3918
0.9548 0.7226 0.3466
0.0000 0.0000 0.6693
0.0000 0.6693 0.0000
0.3307 0.3307 0.3307
0.6693 0.0000 0.0000
0.1169 0.6169 0.5000
0.3831 0.5000 0.8831
0.5000 0.1169 0.6169
0.5000 0.8831 0.3831
0.6169 0.5000 0.1169
0.8831 0.3831 0.5000

---

AcZn4Co (PBE, optimized geometry); V = 18.18 Å³ per atom; polymorph energy (0 for the lowest one) = 186 meV/atom; symmetry = No. 216
1.0
0.0000 3.7924 3.7924
3.7924 0.0000 3.7924
3.7924 3.7924 0.0000
Ac Zn Co
1 4 1
Direct
0.0000 0.0000 0.0000
0.3777 0.3777 0.3777
0.3777 0.3777 0.8668
0.3777 0.8668 0.3777
0.8668 0.3777 0.3777
0.7500 0.7500 0.7500

---

Ac8Zn2Co3 (PBE, optimized geometry); V = 35.68 Å³ per atom; calculated total energy = -56.956 eV per formula unit; symmetry = No. 12
1.0
8.0177 -4.1748 0.0000
8.0177 4.1748 0.0000
-2.2703 0.0000 6.9295
Ac Zn Co
8 2 3
Direct
0.1058 0.1058 0.9031
0.1365 0.6539 0.5992
0.3461 0.8635 0.4008
0.3889 0.3889 0.0621
0.6111 0.6111 0.9379
0.6539 0.1365 0.5992
0.8635 0.3461 0.4008
0.8942 0.8942 0.0969
0.2568 0.2568 0.3276
0.7432 0.7432 0.6724
0.0000 0.0000 0.5000
0.2552 0.7448 0.0000
0.7448 0.2552 0.0000

---

Ac4ZnCo (PBE, optimized geometry); V = 34.00 Å³ per atom; polymorph energy (0 for the lowest one) = 0 meV/atom; symmetry = No. 11
1.0
6.6808 0.0000 0.0000
0.0000 7.5090 0.0000
-2.8711 0.0000 8.1333
Ac Zn Co
8 2 2
Direct
0.0156 0.0033 0.2227
0.0156 0.4967 0.2227
0.4382 0.2500 0.6283
0.4586 0.2500 0.0931
0.5414 0.7500 0.9069
0.5618 0.7500 0.3717
0.9844 0.5033 0.7773
0.9844 0.9967 0.7773
0.1904 0.7500 0.5480
0.8096 0.2500 0.4520
0.2090 0.7500 0.0537
0.7910 0.2500 0.9463

---

Ac8ZnCo4 (PBE, optimized geometry); V = 32.69 Å³ per atom; calculated total energy = -62.616 eV per formula unit; symmetry = No. 8
1.0
9.9712 -2.1353 0.0000
9.9712 2.1353 0.0000
-9.9379 0.0000 9.9797
Ac Zn Co
8 1 4
Direct
0.0000 0.0000 0.0000
0.0186 0.0186 0.4305
0.0416 0.0416 0.7293
0.3154 0.3154 0.3568
0.3382 0.3382 0.6553
0.3568 0.3568 0.0858
0.6310 0.6310 0.3326
0.7258 0.7258 0.7533
0.6785 0.6785 0.0436
0.3580 0.3580 0.8751
0.5268 0.5268 0.5721
0.8302 0.8302 0.5140
0.9988 0.9988 0.2107

---

AcZn2Co2 (PBE, optimized geometry); V = 19.62 Å³ per atom; calculated total energy = -21.412 eV per formula unit; symmetry = No. 12
1.0
10.5142 0.0000 0.0000
0.0000 4.0429 0.0000
-1.2395 0.0000 4.6158
Ac Zn Co
2 4 4
Direct
0.0000 0.0000 0.0000
0.5000 0.5000 0.0000
0.1753 0.5000 0.5712
0.3247 0.0000 0.4288
0.6753 0.0000 0.5712
0.8247 0.5000 0.4288
0.2393 0.5000 0.1060
0.2607 0.0000 0.8940
0.7393 0.0000 0.1060
0.7607 0.5000 0.8940

---

Ac5Zn5Co2 (PBE, optimized geometry); V = 26.86 Å³ per atom; calculated total energy = -43.110 eV per formula unit; symmetry = No. 12
1.0
8.4295 -2.1015 0.0000
8.4295 2.1015 0.0000
-8.0541 0.0000 9.0959
Ac Zn Co
5 5 2
Direct
0.0000 0.0000 0.0000
0.3006 0.3006 0.4159
0.3843 0.3843 0.1900
0.6157 0.6157 0.8100
0.6994 0.6994 0.5841
0.0000 0.0000 0.5000
0.0689 0.0689 0.3157
0.2949 0.2949 0.8480
0.7051 0.7051 0.1520
0.9311 0.9311 0.6843
0.3829 0.3829 0.7338
0.6171 0.6171 0.2662

---

AcZn2Co (PBE, optimized geometry); V = 19.86 Å³ per atom; calculated total energy = -14.486 eV per formula unit; symmetry = No. 62
1.0
15.1619 0.0000 0.0000
0.0000 7.3529 0.0000
0.0000 0.0000 5.7015
Ac Zn Co
8 16 8
Direct
0.0991 0.2500 0.2173
0.1385 0.7500 0.0440
0.3615 0.2500 0.5440
0.4009 0.7500 0.7173
0.5991 0.2500 0.2827
0.6385 0.7500 0.4560
0.8615 0.2500 0.9560
0.9009 0.7500 0.7827
0.0499 0.0652 0.6989
0.0499 0.4348 0.6989
0.2056 0.5536 0.5551
0.2056 0.9464 0.5551
0.2944 0.0536 0.0551
0.2944 0.4464 0.0551
0.4501 0.5652 0.1989
0.4501 0.9348 0.1989
0.5499 0.0652 0.8011
0.5499 0.4348 0.8011
0.7056 0.5536 0.9449
0.7056 0.9464 0.9449
0.7944 0.0536 0.4449
0.7944 0.4464 0.4449
0.9501 0.5652 0.3011
0.9501 0.9348 0.3011
0.0688 0.7500 0.5068
0.1958 0.2500 0.7993
0.3042 0.7500 0.2993
0.4312 0.2500 0.0068
0.5688 0.7500 0.9932
0.6958 0.2500 0.7007
0.8042 0.7500 0.2007
0.9312 0.2500 0.4932

---

Ac2Zn12Co5 (PBE, optimized geometry); V = 16.12 Å³ per atom; calculated total energy = -61.506 eV per formula unit; symmetry = No. 166
1.0
4.5377 2.6198 4.2947
-4.5377 2.6198 4.2947
0.0000 -5.2397 4.2947
Ac Zn Co
2 12 5
Direct
0.1601 0.1601 0.1601
0.8399 0.8399 0.8399
0.1632 0.1632 0.6318
0.1632 0.6318 0.1632
0.2207 0.5000 0.7793
0.2207 0.7793 0.5000
0.3682 0.8368 0.8368
0.5000 0.2207 0.7793
0.5000 0.7793 0.2207
0.6318 0.1632 0.1632
0.7793 0.2207 0.5000
0.7793 0.5000 0.2207
0.8368 0.3682 0.8368
0.8368 0.8368 0.3682
0.0000 0.5000 0.5000
0.4053 0.4053 0.4053
0.5000 0.0000 0.5000
0.5000 0.5000 0.0000
0.5947 0.5947 0.5947

---

AcZrCo (PBE, optimized geometry); V = 27.34 Å³ per atom; calculated total energy = -19.808 eV per formula unit; symmetry = No. 12
1.0
6.5200 0.0000 0.0000
0.0000 6.4627 0.0000
-0.7243 0.0000 7.7861
Ac Zr Co
4 4 4
Direct
0.2442 0.0000 0.3235
0.2558 0.5000 0.6765
0.7442 0.5000 0.3235
0.7558 0.0000 0.6765
0.2105 0.5000 0.1284
0.2895 0.0000 0.8716
0.7105 0.0000 0.1284
0.7895 0.5000 0.8716
0.0000 0.1980 0.0000
0.0000 0.8020 0.0000
0.5000 0.3020 0.0000
0.5000 0.6980 0.0000

---

Values of M_tot, in order: 0.00, 0.00, 0.00, 0.00, 0.00, 0.00, 0.00, 1.56, 0.00, 0.00, 5.42, 0.00, all in μB/f.u..